Record 1
Density functional theory data (PBE) for a geometry-optimized InReTeI2 structure.

Lattice parameters (Å, degrees): 5.7561 5.7561 5.0828 90.00 90.00 90.00
Atoms (fractional coordinates):
In 0.0000 0.0000 0.0000
Re 0.5000 0.5000 0.5000
Te 0.5000 0.5000 0.0000
I 0.0000 0.5000 0.5000
I 0.5000 0.0000 0.5000

Output
As for the density of states at the Fermi level: 2.54 states/eV/cell. The total moment is 0.683 μB/f.u. Its energy above the most stable polymorph in this dataset is 0.0 meV/atom. Its mass density is 6.73 g/cm³. The symmetry is P4/mmm (123). The value obtained for the formation energy (no corrections) is 436 meV/atom.


Record 2
Density functional theory data (PBE) for a geometry-optimized SrFe2Au structure.

Lattice parameters (Å, degrees): 3.3736 4.7202 5.5689 90.00 98.93 90.00
Atoms (fractional coordinates):
Sr 0.0000 0.0000 0.0000
Fe 0.3054 0.5000 0.6535
Fe 0.6946 0.5000 0.3465
Au 0.5000 0.0000 0.5000

Output
As for the density of states at the Fermi level: 3.74 states/eV/cell. The total moment is 5.653 μB/f.u. The calculation puts the energy of formation at 1.58 eV/f.u. Its mass density is 7.51 g/cm³. The symmetry is P2/m (10).


Record 3
Density functional theory data (PBE) for a geometry-optimized RbSnSbTe2 structure.

Lattice parameters (Å, degrees): 6.1613 6.1613 5.9015 90.00 90.00 90.00
Atoms (fractional coordinates):
Rb 0.0000 0.0000 0.0000
Sn 0.5000 0.5000 0.5000
Sb 0.0000 0.0000 0.5000
Te 0.0000 0.5000 0.0000
Te 0.5000 0.0000 0.0000

Output
As for the density of states at the Fermi level: 7.16 states/eV/cell. The total moment is 0.000 μB/f.u. Its energy above the most stable polymorph in this dataset is 1049.8 meV/atom. Its mass density is 4.31 g/cm³. The symmetry is P4/mmm (123). The value obtained for the formation energy (no corrections) is 1038 meV/atom.


Record 4
Density functional theory data (PBE) for a geometry-optimized LiAg3H structure.

Lattice parameters (Å, degrees): 4.1647 4.1647 4.1647 90.00 90.00 90.00
Atoms (fractional coordinates):
Li 0.0000 0.0000 0.0000
Ag 0.0000 0.5000 0.5000
Ag 0.5000 0.0000 0.5000
Ag 0.5000 0.5000 0.0000
H 0.5000 0.5000 0.5000

Output
As for the density of states at the Fermi level: 1.55 states/eV/cell. The total moment is 0.000 μB/f.u. Its energy above the most stable polymorph in this dataset is 0.0 meV/atom. Its mass density is 7.62 g/cm³. The symmetry is Pm-3m (221).


Record 5
Density functional theory data (PBE) for a geometry-optimized Ac2YSb structure.

Lattice parameters (Å, degrees): 5.1738 5.1738 5.0686 90.00 90.00 90.00
Atoms (fractional coordinates):
Ac 0.0000 0.5000 0.0000
Ac 0.5000 0.0000 0.0000
Y 0.0000 0.0000 0.5000
Sb 0.5000 0.5000 0.5000

Output
As for the density of states at the Fermi level: 3.89 states/eV/cell. The total moment is 0.000 μB/f.u. Its energy above the most stable polymorph in this dataset is 0.0 meV/atom. Its mass density is 8.13 g/cm³. The symmetry is P4/mmm (123). The value obtained for the formation energy (no corrections) is -424 meV/atom.


Record 6
Density functional theory data (PBE) for a geometry-optimized LiPmC3N6 structure.

Lattice parameters (Å, degrees): 6.1851 6.1851 6.1851 109.02 109.02 109.02
Atoms (fractional coordinates):
Li 0.0000 0.0000 0.0000
Pm 0.5000 0.5000 0.5000
C 0.0011 0.5000 0.9989
C 0.5000 0.9989 0.0011
C 0.9989 0.0011 0.5000
N 0.1361 0.1383 0.4409
N 0.1383 0.4409 0.1361
N 0.4409 0.1361 0.1383
N 0.5591 0.8617 0.8639
N 0.8617 0.8639 0.5591
N 0.8639 0.5591 0.8617

Output
As for the density of states at the Fermi level: 5.55 states/eV/cell. The total moment is 2.019 μB/f.u. Its mass density is 2.44 g/cm³. The symmetry is R32 (155). The value obtained for the formation energy (no corrections) is -180 meV/atom.


Record 7
Density functional theory data (PBE) for a geometry-optimized NpCd3O6 structure.

Lattice parameters (Å, degrees): 6.6874 6.6874 6.6874 91.28 91.28 91.28
Atoms (fractional coordinates):
Np 0.0000 0.0000 0.0000
Np 0.5000 0.5000 0.5000
Cd 0.0596 0.5630 0.7503
Cd 0.2497 0.9404 0.4370
Cd 0.4370 0.2497 0.9404
Cd 0.5630 0.7503 0.0596
Cd 0.7503 0.0596 0.5630
Cd 0.9404 0.4370 0.2497
O 0.0510 0.9102 0.7045
O 0.0898 0.2955 0.9490
O 0.2047 0.5696 0.4262
O 0.2955 0.9490 0.0898
O 0.4262 0.2047 0.5696
O 0.4304 0.5738 0.7953
O 0.5696 0.4262 0.2047
O 0.5738 0.7953 0.4304
O 0.7045 0.0510 0.9102
O 0.7953 0.4304 0.5738
O 0.9102 0.7045 0.0510
O 0.9490 0.0898 0.2955

Output
The total moment is 1.000 μB/f.u. Its mass density is 7.45 g/cm³. The symmetry is R-3 (148). The value obtained for the formation energy (no corrections) is -1749 meV/atom.


Record 8
Density functional theory data (PBE) for a geometry-optimized CuPdAu structure.

Lattice parameters (Å, degrees): 5.4023 5.4023 5.4023 147.40 147.40 46.77
Atoms (fractional coordinates):
Cu 0.0000 0.0000 0.0000
Pd 0.6511 0.6511 0.0000
Au 0.3396 0.3396 0.0000

Output
As for the density of states at the Fermi level: 1.20 states/eV/cell. The total moment is 0.000 μB/f.u. Its energy above the most stable polymorph in this dataset is 0.0 meV/atom. The calculation puts the energy of formation at -0.29 eV/f.u. Its mass density is 13.36 g/cm³. The symmetry is I4mm (107).


The evaluated E for the records listed, in turn: -19.25 -20.30 -10.18 -13.50 -20.50 -86.27 -125.84 -12.86 eV/cell.